DFT (GGA+U) results for crystalline TaVTe2O at its relaxed geometry.

Computed properties:
Calculated volume ... 105.1 Å³ per cell
Raw total energy ... -6.120 eV per atom

abc: 5.421 5.421 3.576
angles: 90.00 90.00 90.00
Space group P4/mmm (No. 123)
Unique sites:
Ta: 0.000 0.000 0.000 x1
V: 0.500 0.500 0.500 x1
Te: 0.000 0.500 0.500 x2
O: 0.500 0.500 0.000 x1